! Er4TcOs, relaxed, DFT PBE; values from VASP
! total energy	-0.25083	Ha/atom
! V	293.3	Å³/cell
&SYSTEM
  ibrav = 0, nat = 12, ntyp = 3
/
ATOMIC_SPECIES
Er 167.26 Er.upf
Tc 98.00 Tc.upf
Os 190.23 Os.upf
CELL_PARAMETERS angstrom
4.434 -6.395 0.000
4.434 6.395 0.000
-3.322 0.000 5.171
ATOMIC_POSITIONS crystal
Er 0.051 0.698 0.909
Er 0.245 0.368 0.733
Er 0.302 0.949 0.591
Er 0.368 0.245 0.233
Er 0.632 0.755 0.767
Er 0.698 0.051 0.409
Er 0.755 0.632 0.267
Er 0.949 0.302 0.091
Tc 0.365 0.635 0.250
Tc 0.635 0.365 0.750
Os 0.002 0.998 0.750
Os 0.998 0.002 0.250



! AlTeOs, relaxed, DFT PBE; values from VASP
! energy relative to the elements, uncorrected	0.294	eV/atom
! energy relative to the lowest polymorph listed for this composition	0.56	eV/f.u.
! V	57.0	Å³/cell
&SYSTEM
  ibrav = 0, nat = 3, ntyp = 3
/
ATOMIC_SPECIES
Al 26.98 Al.upf
Te 127.60 Te.upf
Os 190.23 Os.upf
CELL_PARAMETERS angstrom
-1.547 1.547 5.952
1.547 -1.547 5.952
1.547 1.547 -5.952
ATOMIC_POSITIONS crystal
Al 0.000 0.000 0.000
Te 0.273 0.273 0.000
Os 0.619 0.619 0.000



! Ag4Br3Cl2, relaxed, DFT PBE; values from VASP
! energy relative to the elements, uncorrected	-0.337	eV/atom
! energy relative to the lowest polymorph listed for this composition	0.00	eV/f.u.
! V	477.6	Å³/cell
&SYSTEM
  ibrav = 0, nat = 18, ntyp = 3
/
ATOMIC_SPECIES
Ag 107.87 Ag.upf
Br 79.90 Br.upf
Cl 35.45 Cl.upf
CELL_PARAMETERS angstrom
10.220 -3.356 0.000
10.220 3.356 0.000
-2.188 0.000 6.961
ATOMIC_POSITIONS crystal
Ag 0.087 0.559 0.238
Ag 0.133 0.715 0.893
Ag 0.285 0.867 0.607
Ag 0.441 0.913 0.262
Ag 0.559 0.087 0.738
Ag 0.715 0.133 0.393
Ag 0.867 0.285 0.107
Ag 0.913 0.441 0.762
Br 0.050 0.950 0.250
Br 0.342 0.436 0.575
Br 0.436 0.342 0.075
Br 0.564 0.658 0.925
Br 0.658 0.564 0.425
Br 0.950 0.050 0.750
Cl 0.142 0.252 0.085
Cl 0.252 0.142 0.585
Cl 0.748 0.858 0.415
Cl 0.858 0.748 0.915



! Th4Bi2Te, relaxed, DFT PBE; values from VASP
! energy relative to the elements, uncorrected	-0.426	eV/atom
! energy relative to the lowest polymorph listed for this composition	0.00	eV/f.u.
! V	228.6	Å³/cell
&SYSTEM
  ibrav = 0, nat = 7, ntyp = 3
/
ATOMIC_SPECIES
Th 232.04 Th.upf
Bi 208.98 Bi.upf
Te 127.60 Te.upf
CELL_PARAMETERS angstrom
-3.823 3.823 3.911
3.823 -3.823 3.911
3.823 3.823 -3.911
ATOMIC_POSITIONS crystal
Th 0.000 0.000 0.500
Th 0.000 0.500 0.000
Th 0.500 0.000 0.000
Th 0.500 0.500 0.500
Bi 0.000 0.500 0.500
Bi 0.500 0.000 0.500
Te 0.000 0.000 0.000



! RePtSe2, relaxed, DFT PBE; values from VASP
! energy relative to the elements, uncorrected	0.754	eV/atom
! energy relative to the lowest polymorph listed for this composition	2.66	eV/f.u.
! V	67.9	Å³/cell
&SYSTEM
  ibrav = 0, nat = 4, ntyp = 3
/
ATOMIC_SPECIES
Re 186.21 Re.upf
Pt 195.08 Pt.upf
Se 78.96 Se.upf
CELL_PARAMETERS angstrom
2.885 0.000 0.000
0.000 4.470 0.000
0.000 0.000 5.267
ATOMIC_POSITIONS crystal
Re 0.000 0.000 0.000
Pt 0.500 0.000 0.500
Se 0.000 0.500 0.500
Se 0.500 0.500 0.000



! Hf2CuRe, relaxed, DFT PBE; values from VASP
! total energy	-0.34572	Ha/atom
! V	70.1	Å³/cell
&SYSTEM
  ibrav = 0, nat = 4, ntyp = 3
/
ATOMIC_SPECIES
Hf 178.49 Hf.upf
Cu 63.55 Cu.upf
Re 186.21 Re.upf
CELL_PARAMETERS angstrom
3.307 0.000 0.000
0.000 3.307 0.000
0.000 0.000 6.406
ATOMIC_POSITIONS crystal
Hf 0.000 0.000 0.244
Hf 0.000 0.000 0.756
Cu 0.500 0.500 0.500
Re 0.500 0.500 0.000